# PBE-GGA Ce2Si4Pt7, relaxed
data_Ce2Si4Pt7
_chemical_formula_sum 'Ce8 Si16 Pt28'
_cell_length_a 19.801
_cell_length_b 4.041
_cell_length_c 11.303
_cell_angle_alpha 90.00
_cell_angle_beta 90.00
_cell_angle_gamma 90.00
_space_group_name_H-M_alt 'P n m a'
_space_group_IT_number 62
_space_group_name_Hall '-P 2ac 2n'
loop_
_atom_site_label
_atom_site_type_symbol
_atom_site_fract_x
_atom_site_fract_y
_atom_site_fract_z
Ce1 Ce 0.028 0.250 0.243
Ce2 Ce 0.217 0.250 0.022
Si1 Si 0.085 0.750 0.062
Si2 Si 0.086 0.750 0.425
Si3 Si 0.095 0.250 0.752
Si4 Si 0.245 0.250 0.299
Pt1 Pt 0.033 0.250 0.566
Pt2 Pt 0.042 0.250 0.949
Pt3 Pt 0.129 0.750 0.621
Pt4 Pt 0.137 0.750 0.871
Pt5 Pt 0.148 0.750 0.241
Pt6 Pt 0.159 0.250 0.442
Pt7 Pt 0.216 0.250 0.692
# Raw formation energy in eV/atom: -1.005
# Spin magnetization in Bohr magnetons per cell: 3.73
# Mass density in g/cm3: 12.91
# VASP energy in eV/atom: -6.839